Record 1
Density functional theory data (PBE) for crystalline Tc5Hg at its relaxed geometry.

Computed properties:
Its theoretical density is 12.5 g cm⁻³. For the density of states at the Fermi level, the calculation gives 1.0767 states/eV/atom.

Cell lengths 5.323, 5.323, 5.323 Å; angles 54.07, 54.07, 54.07 degrees
Fractional positions:
Tc 0.827 0.173 0.500
Tc 0.662 0.662 0.662
Tc 0.173 0.500 0.827
Tc 0.500 0.827 0.173
Tc 0.338 0.338 0.338
Hg 0.000 0.000 0.000

=====

Record 2
Density functional theory data (PBE) for crystalline TcHg2 at its relaxed geometry.

Computed properties:
Its theoretical density is 12.4 g cm⁻³. For the density of states at the Fermi level, the calculation gives 0.8115 states/eV/atom.

Cell lengths 5.787, 5.787, 9.207 Å; angles 90.00, 90.00, 60.00 degrees
Site moments in Bohr magnetons follow the coordinates.
Fractional positions:
Hg 0.827 0.346 0.750  0.00
Hg 0.346 0.827 0.750  0.00
Hg 0.827 0.827 0.750  0.00
Hg 0.173 0.654 0.250  0.00
Hg 0.654 0.173 0.250  0.00
Hg 0.000 0.000 0.500  0.00
Hg 0.173 0.173 0.250  0.00
Hg 0.000 0.000 0.000  0.00
Tc 0.667 0.667 0.367  0.31
Tc 0.333 0.333 0.633  0.31
Tc 0.667 0.667 0.133  0.31
Tc 0.333 0.333 0.867  0.31

=====

Record 3
Density functional theory data (PBE) for crystalline Tc2Hg at its relaxed geometry.

Computed properties:
Its theoretical density is 13.4 g cm⁻³. For the density of states at the Fermi level, the calculation gives 1.0910 states/eV/atom.

Cell lengths 7.686, 7.686, 4.528 Å; angles 90.00, 90.00, 158.39 degrees
Fractional positions:
Hg 0.669 0.331 0.000
Hg 0.994 0.006 0.000
Tc 0.331 0.669 0.000
Tc 0.556 0.444 0.500
Tc 0.233 0.767 0.500
Tc 0.884 0.116 0.500

=====

Record 4
Density functional theory data (PBE) for crystalline TcHg2 at its relaxed geometry.

Computed properties:
Its theoretical density is 11.8 g cm⁻³. For the density of states at the Fermi level, the calculation gives 0.6335 states/eV/atom.

Cell lengths 6.541, 6.541, 6.541 Å; angles 90.00, 90.00, 90.00 degrees
Site moments in Bohr magnetons follow the coordinates.
Fractional positions:
Hg 0.750 0.750 0.750  0.01
Hg 0.750 0.250 0.750  0.01
Hg 0.250 0.250 0.250  0.01
Hg 0.250 0.750 0.750  0.01
Hg 0.750 0.250 0.250  0.01
Hg 0.750 0.750 0.250  0.01
Hg 0.250 0.250 0.750  0.01
Hg 0.250 0.750 0.250  0.01
Tc 0.000 0.000 0.000  2.24
Tc 0.500 0.500 0.000  2.24
Tc 0.000 0.500 0.500  2.24
Tc 0.500 0.000 0.500  2.24

=====

no.,polymorph energy (0 for the lowest one) (meV per atom)
1,142.4
2,619.8
3,332.3
4,606.0